Th3BiIrRh: relaxed, PBE-GGA.

Cell and atoms, written as POSCAR:
```
Th3BiIrRh
1.0
8.545 0.000 0.000
0.000 4.316 0.000
-4.106 0.000 9.062
Th Bi Ir Rh
6 2 2 2
Cartesian
0.775 1.079 1.316
0.100 3.237 4.293
-1.029 3.237 7.899
5.468 1.079 1.163
4.339 1.079 4.769
3.664 3.237 7.745
3.116 3.237 2.465
1.323 1.079 6.597
-2.923 1.079 7.570
7.362 3.237 1.492
-2.413 3.237 5.525
6.852 1.079 3.537
```

Properties
Calculated formation energy in eV/atom: -0.74
Symmetry: P2_1/m
DOS(E_F) in states/eV/f.u.: 4.70
V in A^3/atom: 27.8

SmThSi2O8: relaxed, PBE-GGA.

Cell and atoms, written as POSCAR:
```
SmThSi2O8
1.0
-3.580 3.580 3.185
3.580 -3.580 3.185
3.580 3.580 -3.185
Sm Th Si O
1 1 2 8
Cartesian
0.000 0.000 0.000
0.000 3.580 1.592
3.580 0.000 1.592
0.000 0.000 3.185
2.317 0.000 0.537
4.843 0.000 0.537
3.580 2.310 -1.052
3.580 -1.263 2.648
0.000 1.270 2.132
3.580 1.263 2.648
2.310 3.580 1.052
1.270 0.000 4.237
```

Properties
Symmetry: I-4m2
DOS(E_F) in states/eV/f.u.: 8.72
Energy relative to the elements, uncorrected in eV/atom: -3.070
V in A^3/atom: 13.6

YAu2O: relaxed, PBE-GGA.

Cell and atoms, written as POSCAR:
```
YAu2O
1.0
-4.255 4.255 2.234
4.255 -4.255 2.234
4.255 4.255 -2.234
Y Au O
2 4 2
Cartesian
0.000 0.000 0.000
0.000 4.255 1.117
2.128 2.810 -0.558
5.701 2.128 0.558
2.128 1.445 1.675
-1.445 2.128 2.792
4.255 0.000 1.117
0.000 0.000 2.234
```

Properties
Symmetry: I-42d
DOS(E_F) in states/eV/f.u.: 1.26
Energy relative to the elements, uncorrected in eV/atom: -0.924
V in A^3/atom: 20.2

NaTaPO2: relaxed, PBE-GGA.

Cell and atoms, written as POSCAR:
```
NaTaPO2
1.0
3.883 0.000 0.000
0.000 3.883 0.000
0.000 0.000 4.499
Na Ta P O
1 1 1 2
Cartesian
0.000 0.000 0.000
1.942 1.942 2.249
0.000 0.000 2.249
0.000 1.942 0.000
1.942 0.000 0.000
```

Properties
Symmetry: P4/mmm
DOS(E_F) in states/eV/f.u.: 3.52
Energy relative to the elements, uncorrected in eV/atom: 0.636
V in A^3/atom: 13.6

PrDyY3Sc: relaxed, PBE-GGA.

Cell and atoms, written as POSCAR:
```
PrDyY3Sc
1.0
2.496 -7.512 0.000
2.496 7.512 0.000
0.000 0.000 10.047
Pr Dy Y Sc
2 2 6 2
Cartesian
2.496 7.464 7.535
2.496 -7.464 2.512
2.496 0.000 0.000
2.496 0.000 5.024
2.496 4.998 5.029
2.496 4.998 10.042
2.496 2.550 7.535
2.496 -2.550 2.512
2.496 -4.998 0.005
2.496 -4.998 5.018
2.496 2.519 2.512
2.496 -2.519 7.535
```

Properties
Calculated formation energy in eV/atom: 0.04
Symmetry: Cmcm
DOS(E_F) in states/eV/f.u.: 9.42
V in A^3/atom: 31.4

DyZr2PaP4: relaxed, PBE-GGA.

Cell and atoms, written as POSCAR:
```
DyZr2PaP4
1.0
6.670 0.000 0.000
0.000 3.868 0.000
-2.231 0.000 6.298
Dy Zr Pa P
1 2 1 4
Cartesian
0.000 0.000 0.000
2.219 0.000 3.149
3.335 1.934 0.000
-1.116 1.934 3.149
1.176 1.934 1.614
0.071 0.000 4.746
4.368 0.000 1.552
3.263 1.934 4.684
```

Properties
Calculated formation energy in eV/atom: -1.43
Symmetry: P2/m
DOS(E_F) in states/eV/f.u.: 4.83
V in A^3/atom: 20.3

AcNdBi2: relaxed, PBE-GGA.

Cell and atoms, written as POSCAR:
```
AcNdBi2
1.0
6.145 0.000 0.000
0.000 6.145 0.000
0.000 0.000 3.571
Ac Nd Bi
1 1 2
Cartesian
0.000 0.000 0.000
3.072 3.072 0.000
0.000 3.072 1.786
3.072 0.000 1.786
```

Properties
Calculated formation energy in eV/atom: -0.75
Symmetry: P4/mmm
DOS(E_F) in states/eV/f.u.: 2.17
V in A^3/atom: 33.7

VCrBr6: relaxed, PBE-GGA.

Cell and atoms, written as POSCAR:
```
VCrBr6
1.0
3.160 -6.481 0.000
3.160 6.481 0.000
-2.017 0.000 5.991
V Cr Br
1 1 6
Cartesian
0.000 0.000 0.000
2.152 0.000 2.996
1.093 1.744 1.515
0.009 0.000 4.527
1.093 -1.744 1.515
3.210 1.744 4.476
4.294 0.000 1.464
3.210 -1.744 4.476
```

Properties
Symmetry: C2/m
DOS(E_F) in states/eV/f.u.: 6.04
Energy relative to the elements, uncorrected in eV/atom: -0.708
V in A^3/atom: 30.7

CaTi2Au2: relaxed, PBE-GGA.

Cell and atoms, written as POSCAR:
```
CaTi2Au2
1.0
-1.942 1.942 6.923
1.942 -1.942 6.923
1.942 1.942 -6.923
Ca Ti Au
1 2 2
Cartesian
0.000 0.000 0.000
1.942 0.000 3.461
0.000 1.942 3.461
0.000 0.000 5.478
0.000 0.000 8.367
```

Properties
Calculated formation energy in eV/atom: -0.31
Symmetry: I4/mmm
DOS(E_F) in states/eV/f.u.: 5.49
V in A^3/atom: 20.9

PuU2Se5: relaxed, PBE-GGA.

Cell and atoms, written as POSCAR:
```
PuU2Se5
1.0
-3.704 3.704 6.682
3.704 -3.704 6.682
3.704 3.704 -6.682
Pu U Se
2 4 10
Cartesian
0.000 0.000 3.341
0.000 0.000 10.022
4.575 0.870 0.000
0.870 2.834 0.000
2.834 0.870 6.682
-0.870 2.834 6.682
0.000 0.000 0.000
2.444 1.260 -1.958
2.444 -1.260 4.723
2.444 1.260 1.958
2.444 -1.260 8.640
0.000 0.000 6.682
1.260 4.964 -1.958
1.260 2.444 4.723
1.260 4.964 1.958
1.260 2.444 8.640
```

Properties
Symmetry: I4/mcm
DOS(E_F) in states/eV/f.u.: 13.74
Energy relative to the elements, uncorrected in eV/atom: -1.208
V in A^3/atom: 22.9

SrBeSb2: relaxed, PBE-GGA.

Cell and atoms, written as POSCAR:
```
SrBeSb2
1.0
6.204 -1.980 0.000
6.204 1.980 0.000
-0.084 0.000 5.227
Sr Be Sb
1 1 2
Cartesian
0.000 0.000 0.000
9.751 0.000 2.601
2.043 0.000 2.647
5.165 0.000 2.597
```

Properties
Symmetry: Cm
DOS(E_F) in states/eV/f.u.: 0.46
Energy relative to the elements, uncorrected in eV/atom: -0.170
V in A^3/atom: 32.1

Ta2NiW: relaxed, PBE-GGA.

Cell and atoms, written as POSCAR:
```
Ta2NiW
1.0
2.735 0.000 0.000
0.000 2.735 0.000
0.000 0.000 8.501
Ta Ni W
2 1 1
Cartesian
0.000 0.000 1.903
0.000 0.000 6.599
1.368 1.368 0.000
1.368 1.368 4.251
```

Properties
Calculated formation energy in eV/atom: 0.00
Symmetry: P4/mmm
DOS(E_F) in states/eV/f.u.: 3.68
V in A^3/atom: 15.9